Below is a geometry-optimized Nd3Tl2H structure, with properties calculated at the PBE level.

```
Nd3Tl2H
1.0
7.2655 -3.2819 0.0000
7.2655 3.2819 0.0000
-1.2021 0.0000 6.7738
Nd Tl H
6 4 2
Cartesian
6.3640 2.7214 5.0804
4.9200 0.6332 2.6193
4.3189 -0.6332 6.0062
9.0100 0.6332 0.7676
8.4090 -0.6332 4.1545
6.9650 -2.7214 1.6935
2.5351 0.6457 0.3747
1.9340 -0.6457 3.7616
11.3949 0.6457 3.0122
10.7939 -0.6457 6.3991
6.3640 0.3758 5.0804
6.9650 -0.3758 1.6935
```

Properties
density of states at the Fermi level: 3.10 states/eV/f.u.
E: -4.02 eV per atom
magnetic moment: 0.0 μB per cell



Below is a geometry-optimized Nd4Tl3H2 structure, with properties calculated at the PBE level.

```
Nd4Tl3H2
1.0
5.6660 -2.3777 0.0000
5.6660 2.3777 0.0000
-2.9349 0.0000 8.2306
Nd Tl H
4 3 2
Cartesian
0.1652 0.0000 3.3530
0.7580 0.0000 7.1367
7.6391 0.0000 1.0939
8.2318 0.0000 4.8775
0.0000 0.0000 0.0000
3.5784 0.0000 2.5635
4.8187 0.0000 5.6671
1.7690 0.0000 5.0533
6.6281 0.0000 3.1773
```

Properties
density of states at the Fermi level: 6.87 states/eV/f.u.
E: -4.04 eV per atom
magnetic moment: 0.0 μB per cell



Below is a geometry-optimized Nd3TlH structure, with properties calculated at the PBE level.

```
Nd3TlH
1.0
4.8734 -8.1638 0.0000
4.8734 8.1638 0.0000
0.0000 0.0000 6.7602
Nd Tl H
12 4 4
Cartesian
4.8734 7.4287 5.0786
2.4367 1.7257 5.0702
4.8734 4.2812 3.2642
4.8734 3.8825 6.6443
2.4367 -1.7257 1.6901
4.8734 0.7351 1.6985
4.8734 -0.7351 5.0617
7.3102 1.7257 5.0702
4.8734 -3.8825 0.1159
4.8734 -4.2812 3.4960
7.3102 -1.7257 1.6901
4.8734 -7.4287 1.6816
2.4367 2.7781 1.6901
2.4367 -2.7781 5.0702
7.3102 2.7781 1.6901
7.3102 -2.7781 5.0702
4.8734 6.7246 2.7561
4.8734 1.4391 6.1362
4.8734 -1.4391 0.6240
4.8734 -6.7246 4.0041
```

Properties
excess energy over the best structure of this formula in the dataset: 79 meV per atom
density of states at the Fermi level: 4.71 states/eV/f.u.
E: -4.23 eV per atom
magnetic moment: 0.0 μB per cell



Below is a geometry-optimized Nd3TlH structure, with properties calculated at the PBE level.

```
Nd3TlH
1.0
8.9987 0.0000 0.0000
0.0000 3.8143 0.0000
0.0000 0.0000 15.2660
Nd Tl H
12 4 4
Cartesian
0.1832 0.9536 1.5389
1.5107 0.9536 7.7741
1.7037 2.8607 4.7317
2.7957 0.9536 12.3647
2.9887 2.8607 0.1411
4.3162 2.8607 9.1719
4.6825 0.9536 6.0941
6.0100 0.9536 15.1250
6.2030 2.8607 2.9013
7.2950 0.9536 10.5343
7.4880 2.8607 7.4920
8.8155 2.8607 13.7271
1.0089 2.8607 10.3966
3.4904 0.9536 2.7635
5.5083 2.8607 12.5025
7.9897 0.9536 4.8695
1.4543 0.9536 14.5247
3.0450 2.8607 6.8917
5.9537 0.9536 8.3743
7.5443 2.8607 0.7413
```

Properties
excess energy over the best structure of this formula in the dataset: 6 meV per atom
density of states at the Fermi level: 3.54 states/eV/f.u.
E: -4.30 eV per atom
magnetic moment: 0.0 μB per cell



Below is a geometry-optimized Nd4Y2Tl3H2 structure, with properties calculated at the PBE level.

```
Nd4Y2Tl3H2
1.0
-2.4153 2.4153 12.6648
2.4153 -2.4153 12.6648
2.4153 2.4153 -12.6648
Nd Y Tl H
4 2 3 2
Cartesian
2.4153 0.0000 2.1966
2.4153 0.0000 10.4682
0.0000 2.4153 2.1966
0.0000 2.4153 10.4682
0.0000 0.0000 5.0766
0.0000 0.0000 20.2530
0.0000 0.0000 8.1853
0.0000 0.0000 12.6648
0.0000 0.0000 17.1443
0.0000 0.0000 2.7489
0.0000 0.0000 22.5807
```

Properties
density of states at the Fermi level: 9.23 states/eV/f.u.
E: -4.44 eV per atom
magnetic moment: 0.0 μB per cell



Below is a geometry-optimized Nd2TmH structure, with properties calculated at the PBE level.

```
Nd2TmH
1.0
3.4344 0.0000 0.0000
0.0000 3.4344 0.0000
0.0000 0.0000 8.5680
Nd Tm H
2 1 1
Cartesian
0.0000 0.0000 1.6471
0.0000 0.0000 6.9209
1.7172 1.7172 4.2840
1.7172 1.7172 0.0000
```

Properties
excess energy over the best structure of this formula in the dataset: 228 meV per atom
density of states at the Fermi level: 3.93 states/eV/f.u.
E: -4.25 eV per atom
magnetic moment: 0.0 μB per cell



Below is a geometry-optimized Nd3TmH8 structure, with properties calculated at the PBE level.

```
Nd3TmH8
1.0
5.3696 0.0000 0.0000
0.0000 5.3696 0.0000
0.0000 0.0000 5.3696
Nd Tm H
3 1 8
Cartesian
0.0000 0.0000 2.6848
0.0000 2.6848 0.0000
2.6848 0.0000 0.0000
2.6848 2.6848 2.6848
1.4001 1.4001 1.4001
1.4001 1.4001 3.9695
1.4001 3.9695 1.4001
1.4001 3.9695 3.9695
3.9695 1.4001 1.4001
3.9695 1.4001 3.9695
3.9695 3.9695 1.4001
3.9695 3.9695 3.9695
```

Properties
density of states at the Fermi level: 1.69 states/eV/f.u.
E: -4.47 eV per atom
magnetic moment: 0.0 μB per cell



Below is a geometry-optimized NdTmH4 structure, with properties calculated at the PBE level.

```
NdTmH4
1.0
3.7084 0.0000 0.0000
0.0000 3.7084 0.0000
0.0000 0.0000 5.3183
Nd Tm H
1 1 4
Cartesian
0.0000 0.0000 0.0000
1.8542 1.8542 2.6591
0.0000 1.8542 1.4422
0.0000 1.8542 3.8760
1.8542 0.0000 1.4422
1.8542 0.0000 3.8760
```

Properties
density of states at the Fermi level: 1.81 states/eV/f.u.
E: -4.45 eV per atom
magnetic moment: 0.0 μB per cell



Below is a geometry-optimized Nd2TmH structure, with properties calculated at the PBE level.

```
Nd2TmH
1.0
1.8331 1.0584 8.7624
-1.8331 1.0584 8.7624
0.0000 -2.1167 8.7624
Nd Tm H
2 1 1
Cartesian
0.0000 0.0000 5.8620
0.0000 0.0000 20.4252
0.0000 0.0000 0.0000
0.0000 0.0000 13.1436
```

Properties
excess energy over the best structure of this formula in the dataset: 0 meV per atom
density of states at the Fermi level: 3.38 states/eV/f.u.
E: -4.48 eV per atom
magnetic moment: 0.0 μB per cell



Below is a geometry-optimized NdTm3H8 structure, with properties calculated at the PBE level.

```
NdTm3H8
1.0
5.1670 0.0000 0.0000
0.0000 5.1670 0.0000
0.0000 0.0000 5.1670
Nd Tm H
1 3 8
Cartesian
0.0000 0.0000 0.0000
0.0000 2.5835 2.5835
2.5835 0.0000 2.5835
2.5835 2.5835 0.0000
1.3450 1.3450 1.3450
1.3450 1.3450 3.8221
1.3450 3.8221 1.3450
1.3450 3.8221 3.8221
3.8221 1.3450 1.3450
3.8221 1.3450 3.8221
3.8221 3.8221 1.3450
3.8221 3.8221 3.8221
```

Properties
density of states at the Fermi level: 1.94 states/eV/f.u.
E: -4.45 eV per atom
magnetic moment: 0.0 μB per cell



Below is a geometry-optimized Nd3Tm5H12 structure, with properties calculated at the PBE level.

```
Nd3Tm5H12
1.0
-6.5712 6.5712 6.5712
6.5712 -6.5712 6.5712
6.5712 6.5712 -6.5712
Nd Tm H
12 20 48
Cartesian
3.2856 1.6428 0.0000
6.5712 3.2856 -1.6428
1.6428 0.0000 3.2856
8.2140 0.0000 3.2856
0.0000 3.2856 1.6428
3.2856 -1.6428 6.5712
3.2856 8.2140 0.0000
6.5712 3.2856 4.9284
-1.6428 6.5712 3.2856
4.9284 6.5712 3.2856
0.0000 3.2856 8.2140
3.2856 4.9284 6.5712
0.0000 0.0000 0.0000
3.2856 3.2856 -3.2856
3.2856 -3.2856 3.2856
6.5712 0.0000 0.0000
9.8568 1.6428 0.0000
6.5712 -3.2856 4.9284
4.9284 6.5712 -3.2856
4.9284 0.0000 3.2856
3.2856 4.9284 0.0000
6.5712 3.2856 1.6428
-3.2856 3.2856 3.2856
0.0000 6.5712 0.0000
0.0000 0.0000 6.5712
3.2856 3.2856 3.2856
0.0000 3.2856 4.9284
3.2856 1.6428 6.5712
1.6428 6.5712 3.2856
1.6428 0.0000 9.8568
0.0000 9.8568 1.6428
-3.2856 4.9284 6.5712
1.9983 -0.1210 0.8625
7.8585 4.1481 -3.4066
8.5695 0.1210 0.8625
7.8585 -2.4231 3.4066
6.4502 -0.8625 1.9983
9.9778 -1.2873 2.4231
0.8625 1.9983 -0.1210
8.9943 3.1646 -1.2873
4.1481 3.4066 -1.2873
5.7087 1.9983 0.1210
-0.1210 0.8625 1.9983
3.4066 -1.2873 4.1481
6.4502 5.7087 -1.9983
3.4066 1.2873 2.4231
4.1481 -3.4066 7.8585
5.7087 -1.9983 6.4502
2.4231 3.4066 1.2873
7.4337 4.5729 0.1210
3.4066 7.8585 -2.4231
6.4502 0.8625 4.5729
1.9983 6.4502 -0.8625
7.8585 2.4231 3.1646
1.2873 2.4231 3.4066
1.9983 0.1210 5.7087
4.5729 6.4502 0.8625
5.2839 4.1481 3.1646
-1.2873 4.1481 3.4066
4.5729 0.1210 7.4337
0.1210 5.7087 1.9983
3.1646 -1.2873 8.9943
-0.8625 1.9983 6.4502
4.1481 3.1646 5.2839
0.8625 8.5695 0.1210
2.4231 9.9778 -1.2873
3.1646 5.2839 4.1481
0.1210 0.8625 8.5695
3.1646 7.8585 2.4231
6.6922 5.7087 4.5729
0.8625 4.5729 6.4502
2.4231 3.1646 7.8585
-2.4231 3.4066 7.8585
5.7087 4.5729 6.6922
-3.4066 7.8585 4.1481
0.1210 7.4337 4.5729
-1.2873 8.9943 3.1646
-1.9983 6.4502 5.7087
-1.2873 2.4231 9.9778
4.5729 6.6922 5.7087
```

Properties
density of states at the Fermi level: 14.41 states/eV/f.u.
E: -4.30 eV per atom
magnetic moment: 0.0 μB per cell



Below is a geometry-optimized NdUH structure, with properties calculated at the PBE level.

```
NdUH
1.0
6.2170 -1.7266 0.0000
6.2170 1.7266 0.0000
-1.3011 0.0000 5.7127
Nd U H
2 2 2
Cartesian
0.7143 0.0000 1.7353
10.4185 0.0000 3.9774
1.2969 0.0000 5.0142
9.8359 0.0000 0.6985
4.6115 0.0000 2.0222
6.5213 0.0000 3.6905
```

Properties
density of states at the Fermi level: 5.59 states/eV/f.u.
E: -6.27 eV per atom
magnetic moment: 0.9 μB per cell